Here is a geometry-optimized Pr3Si4Ru2 structure from the Alexandria database. Energies are from PBE.

Cell: 4.1907 6.0462 8.2915 Å, 107.43 90.00 110.28°
Last column: nearest neighbours and their distance in Å.
Fractional positions:
Pr: 0.3916 0.7831 0.3058  7 Si 3.03-3.21, 4 Ru 3.20-3.31, 1 Pr 3.37
Pr: 0.6084 0.2169 0.6942  7 Si 3.03-3.21, 4 Ru 3.20-3.31, 1 Pr 3.37
Pr: 0.0000 0.0000 0.0000  8 Si 3.18-3.42
Si: 0.8856 0.7712 0.5964  3 Ru 2.36-2.44
Si: 0.1144 0.2288 0.4036  3 Ru 2.36-2.44
Si: 0.2780 0.5560 0.9218  1 Ru 2.43, 2 Si 2.65
Si: 0.7220 0.4440 0.0782  1 Ru 2.43, 2 Si 2.65
Ru: 0.3067 0.6134 0.6438  4 Si 2.36-2.44
Ru: 0.6933 0.3866 0.3562  4 Si 2.36-2.44

Values from the calculation:
Uncorrected formation energy in eV/f.u.: -6.72
E in Ha/atom: -0.2503
Total moment in μB/cell: 0.00

---

Here is a geometry-optimized PrSi3Ru3 structure from the Alexandria database. Energies are from PBE.

Cell: 6.6257 6.6257 7.9365 Å, 65.33 65.33 60.00°
Last column: nearest neighbours and their distance in Å.
Fractional positions:
Ru: 0.0821 0.5255 0.6377  4 Si 2.32-2.43
Ru: 0.7546 0.0821 0.6377  4 Si 2.32-2.43
Ru: 0.9179 0.4745 0.3623  4 Si 2.32-2.43
Ru: 0.2454 0.9179 0.3623  4 Si 2.32-2.43
Ru: 0.4745 0.2454 0.3623  4 Si 2.32-2.43
Ru: 0.5255 0.7546 0.6377  4 Si 2.32-2.43
Si: 0.1237 0.8225 0.7099  4 Ru 2.32-2.43
Si: 0.1775 0.6561 0.2901  4 Ru 2.32-2.43
Si: 0.3439 0.1237 0.7099  4 Ru 2.32-2.43
Si: 0.8225 0.3439 0.7099  4 Ru 2.32-2.43
Si: 0.8763 0.1775 0.2901  4 Ru 2.32-2.43
Si: 0.6561 0.8763 0.2901  4 Ru 2.32-2.43
Pr: 0.3331 0.3331 0.0006  6 Si 3.11-3.29, 6 Ru 3.12-3.39
Pr: 0.6669 0.6669 0.9994  6 Si 3.11-3.29, 6 Ru 3.12-3.39

Values from the calculation:
Uncorrected formation energy in eV/f.u.: -2.49
Energy above the most stable polymorph in this dataset in meV/atom: 67
E in Ha/atom: -0.2697
Total moment in μB/cell: 0.00

---

Here is a geometry-optimized Pr3Si2Ru structure from the Alexandria database. Energies are from PBE.

Cell: 4.2844 11.7517 12.0018 Å, 90.00 90.00 90.00°
Last column: nearest neighbours and their distance in Å.
Fractional positions:
Pr: 0.7500 0.5551 0.6189  5 Si 3.03-3.19, 3 Ru 3.15-3.18
Pr: 0.7500 0.2026 0.2921  2 Ru 2.98, 4 Si 3.08-3.15
Pr: 0.2500 0.1183 0.5620  1 Ru 2.90, 4 Si 3.13-3.16
Pr: 0.2500 0.7026 0.2079  2 Ru 2.98, 4 Si 3.08-3.15
Pr: 0.7500 0.2974 0.7921  2 Ru 2.98, 4 Si 3.08-3.15
Pr: 0.7500 0.8817 0.4380  1 Ru 2.90, 4 Si 3.13-3.16
Pr: 0.2500 0.4449 0.3811  5 Si 3.03-3.19, 3 Ru 3.15-3.18
Pr: 0.7500 0.9449 0.1189  5 Si 3.03-3.19, 3 Ru 3.15-3.18
Pr: 0.2500 0.3817 0.0620  1 Ru 2.90, 4 Si 3.13-3.16
Pr: 0.2500 0.7974 0.7079  2 Ru 2.98, 4 Si 3.08-3.15
Pr: 0.2500 0.0551 0.8811  5 Si 3.03-3.19, 3 Ru 3.15-3.18
Pr: 0.7500 0.6183 0.9380  1 Ru 2.90, 4 Si 3.13-3.16
Ru: 0.7500 0.8552 0.8715  3 Si 2.49-2.55
Ru: 0.2500 0.3552 0.6285  3 Si 2.49-2.55
Ru: 0.7500 0.6448 0.3715  3 Si 2.49-2.55
Ru: 0.2500 0.1448 0.1285  3 Si 2.49-2.55
Si: 0.7500 0.3138 0.5304  2 Ru 2.49
Si: 0.2500 0.8138 0.9696  2 Ru 2.49
Si: 0.7500 0.5146 0.2012  1 Ru 2.55
Si: 0.2500 0.4854 0.7988  1 Ru 2.55
Si: 0.7500 0.9854 0.7012  1 Ru 2.55
Si: 0.7500 0.1862 0.0304  2 Ru 2.49
Si: 0.2500 0.6862 0.4696  2 Ru 2.49
Si: 0.2500 0.0146 0.2988  1 Ru 2.55

Values from the calculation:
Uncorrected formation energy in eV/f.u.: -3.57
E in Ha/atom: -0.2329
Total moment in μB/cell: 0.00

---

Here is a geometry-optimized Pr3Si3Ru structure from the Alexandria database. Energies are from PBE.

Cell: 4.3411 6.0225 13.2497 Å, 85.23 80.57 68.87°
Last column: nearest neighbours and their distance in Å.
Fractional positions:
Pr: 0.3977 0.2847 0.9199  7 Si 3.07-3.27
Pr: 0.2512 0.2702 0.2273  5 Si 2.97-3.07
Pr: 0.5197 0.3363 0.6243  6 Si 3.04-3.36, 4 Ru 3.14-3.36
Pr: 0.4803 0.6637 0.3757  6 Si 3.04-3.36, 4 Ru 3.14-3.36
Pr: 0.7488 0.7298 0.7727  5 Si 2.97-3.07
Pr: 0.6023 0.7153 0.0801  7 Si 3.07-3.27
Si: 0.1044 0.8659 0.9254  2 Si 2.50-2.55
Si: 0.9373 0.8848 0.2407  1 Ru 2.54, 1 Si 2.55
Si: 0.8956 0.1341 0.0746  2 Si 2.50-2.55
Si: 0.8485 0.7578 0.5452  3 Ru 2.41-2.43
Si: 0.0627 0.1152 0.7593  1 Ru 2.54, 1 Si 2.55
Si: 0.1515 0.2422 0.4548  3 Ru 2.41-2.43
Ru: 0.2436 0.9289 0.5840  4 Si 2.41-2.54
Ru: 0.7564 0.0711 0.4160  4 Si 2.41-2.54

Values from the calculation:
Uncorrected formation energy in eV/f.u.: -5.14
E in Ha/atom: -0.2364
Total moment in μB/cell: 0.69

---

Here is a geometry-optimized PrSi3Ru3 structure from the Alexandria database. Energies are from PBE.

Cell: 6.4993 6.4993 6.4993 Å, 90.00 90.00 90.00°
Last column: nearest neighbours and their distance in Å.
Fractional positions:
Ru: 0.7500 0.0000 0.5000  4 Si 2.30
Ru: 0.0000 0.5000 0.7500  4 Si 2.30
Ru: 0.2500 0.0000 0.5000  4 Si 2.30
Ru: 0.5000 0.7500 0.0000  4 Si 2.30
Ru: 0.5000 0.2500 0.0000  4 Si 2.30
Ru: 0.0000 0.5000 0.2500  4 Si 2.30
Pr: 0.5000 0.5000 0.5000  12 Ru 3.63, 12 Si 3.63
Pr: 0.0000 0.0000 0.0000  12 Si 3.63, 12 Ru 3.63
Si: 0.5000 0.0000 0.2500  4 Ru 2.30
Si: 0.5000 0.0000 0.7500  4 Ru 2.30
Si: 0.7500 0.5000 0.0000  4 Ru 2.30
Si: 0.0000 0.2500 0.5000  4 Ru 2.30
Si: 0.2500 0.5000 0.0000  4 Ru 2.30
Si: 0.0000 0.7500 0.5000  4 Ru 2.30

Values from the calculation:
Uncorrected formation energy in eV/f.u.: -1.86
Energy above the most stable polymorph in this dataset in meV/atom: 158
E in Ha/atom: -0.2664
Total moment in μB/cell: 0.00

---

Here is a geometry-optimized Pr2Si7Ru12 structure from the Alexandria database. Energies are from PBE.

Cell: 3.9657 9.6760 9.6760 Å, 120.00 90.00 90.00°
Last column: nearest neighbours and their distance in Å.
Fractional positions:
Si: 0.0000 0.0427 0.7775  5 Ru 2.36-2.48
Si: 0.5000 0.4350 0.0603  7 Ru 2.45-2.55
Si: 0.0000 0.3333 0.6667  3 Ru 2.30
Si: 0.0000 0.7348 0.9573  5 Ru 2.36-2.48
Si: 0.0000 0.2225 0.2652  5 Ru 2.36-2.48
Si: 0.5000 0.6253 0.5650  7 Ru 2.45-2.55
Si: 0.5000 0.9397 0.3747  7 Ru 2.45-2.55
Ru: 0.0000 0.4577 0.5171  4 Si 2.30-2.45
Ru: 0.0000 0.0594 0.5423  4 Si 2.30-2.45
Ru: 0.5000 0.9031 0.6180  4 Si 2.46-2.55
Ru: 0.5000 0.2347 0.7758  5 Si 2.45-2.72
Ru: 0.5000 0.5411 0.7653  5 Si 2.45-2.72
Ru: 0.0000 0.2762 0.0398  4 Si 2.41-2.48, 1 Ru 2.62
Ru: 0.0000 0.4829 0.9406  4 Si 2.30-2.45
Ru: 0.0000 0.7637 0.7238  4 Si 2.41-2.48, 1 Ru 2.62
Ru: 0.5000 0.3820 0.2850  4 Si 2.46-2.55
Ru: 0.0000 0.9602 0.2363  4 Si 2.41-2.48, 1 Ru 2.62
Ru: 0.5000 0.7150 0.0969  4 Si 2.46-2.55
Ru: 0.5000 0.2242 0.4589  5 Si 2.45-2.72
Pr: 0.0000 0.6667 0.3333  6 Si 3.16, 12 Ru 3.23-3.41
Pr: 0.5000 0.0000 0.0000  6 Si 3.10, 9 Ru 3.19-3.33

Values from the calculation:
Uncorrected formation energy in eV/f.u.: -11.78
E in Ha/atom: -0.2986
Total moment in μB/cell: 0.00

---

Here is a geometry-optimized PrSi2Ru structure from the Alexandria database. Energies are from PBE.

Cell: 4.0987 7.1707 10.2054 Å, 90.00 90.00 90.00°
Last column: nearest neighbours and their distance in Å.
Fractional positions:
Si: 0.2500 0.8161 0.5776  3 Ru 2.39-2.42, 2 Si 2.59
Si: 0.2500 0.8422 0.1860  2 Ru 2.40-2.49, 2 Si 2.59
Si: 0.7500 0.1839 0.4224  3 Ru 2.39-2.42, 2 Si 2.59
Si: 0.2500 0.3422 0.3140  2 Ru 2.40-2.49, 2 Si 2.59
Si: 0.7500 0.6578 0.6860  2 Ru 2.40-2.49, 2 Si 2.59
Si: 0.7500 0.6839 0.0776  3 Ru 2.39-2.42, 2 Si 2.59
Si: 0.2500 0.3161 0.9224  3 Ru 2.39-2.42, 2 Si 2.59
Si: 0.7500 0.1578 0.8140  2 Ru 2.40-2.49, 2 Si 2.59
Ru: 0.2500 0.5122 0.1113  5 Si 2.39-2.49
Ru: 0.7500 0.4878 0.8887  5 Si 2.39-2.49
Ru: 0.7500 0.9878 0.6113  5 Si 2.39-2.49
Ru: 0.2500 0.0122 0.3887  5 Si 2.39-2.49
Pr: 0.2500 0.3501 0.6235  9 Si 3.06-3.37, 3 Ru 3.31-3.41
Pr: 0.2500 0.8501 0.8765  9 Si 3.06-3.37, 3 Ru 3.31-3.41
Pr: 0.7500 0.6499 0.3765  9 Si 3.06-3.37, 3 Ru 3.31-3.41
Pr: 0.7500 0.1499 0.1235  9 Si 3.06-3.37, 3 Ru 3.31-3.41

Values from the calculation:
Uncorrected formation energy in eV/f.u.: -3.13
E in Ha/atom: -0.2576
Total moment in μB/cell: 0.00

---

Here is a geometry-optimized PrSi2Ru structure from the Alexandria database. Energies are from PBE.

Cell: 4.0841 4.5229 8.3428 Å, 101.93 90.00 90.00°
Last column: nearest neighbours and their distance in Å.
Fractional positions:
Si: 0.2500 0.5371 0.0912  1 Ru 2.43, 2 Si 2.53
Si: 0.7500 0.8321 0.5090  4 Ru 2.38-2.45, 2 Si 2.57
Si: 0.7500 0.4629 0.9088  1 Ru 2.43, 2 Si 2.53
Si: 0.2500 0.1679 0.4910  4 Ru 2.38-2.45, 2 Si 2.57
Ru: 0.7500 0.3793 0.6120  5 Si 2.38-2.45
Ru: 0.2500 0.6207 0.3880  5 Si 2.38-2.45
Pr: 0.7500 0.0848 0.2002  9 Si 3.03-3.32, 2 Ru 3.31
Pr: 0.2500 0.9152 0.7998  9 Si 3.03-3.32, 2 Ru 3.31

Values from the calculation:
Uncorrected formation energy in eV/f.u.: -3.32
E in Ha/atom: -0.2593
Total moment in μB/cell: 0.00

---

Here is a geometry-optimized PrSi3Ru structure from the Alexandria database. Energies are from PBE.

Cell: 4.5570 5.5879 7.8914 Å, 90.00 90.00 90.00°
Last column: nearest neighbours and their distance in Å.
Fractional positions:
Si: 0.0000 0.7503 0.7501  2 Ru 2.42
Si: 0.0000 0.7497 0.2501  2 Ru 2.42
Si: 0.5000 0.0000 0.5000  2 Ru 2.28
Si: 0.0000 0.2503 0.7499  2 Ru 2.42
Si: 0.0000 0.2497 0.2499  2 Ru 2.42
Si: 0.5000 0.5000 0.0000  2 Ru 2.28
Ru: 0.0000 0.0000 0.5000  6 Si 2.28-2.42
Ru: 0.0000 0.5000 0.0000  6 Si 2.28-2.42
Pr: 0.5000 0.5000 0.5000  2 Si 2.79
Pr: 0.5000 0.0000 0.0000  2 Si 2.79

Values from the calculation:
Uncorrected formation energy in eV/f.u.: -0.64
E in Ha/atom: -0.2276
Total moment in μB/cell: 0.00

---

Here is a geometry-optimized PrSi3Ru3 structure from the Alexandria database. Energies are from PBE.

Cell: 7.6352 7.6352 7.6352 Å, 90.00 90.00 90.00°
Last column: nearest neighbours and their distance in Å.
Fractional positions:
Si: 0.1890 0.9234 0.0014  4 Ru 2.39-2.58, 2 Si 2.55
Si: 0.4234 0.4986 0.8110  4 Ru 2.39-2.58, 2 Si 2.55
Si: 0.5014 0.3110 0.0766  4 Ru 2.39-2.58, 2 Si 2.55
Si: 0.9986 0.6890 0.5766  4 Ru 2.39-2.58, 2 Si 2.55
Si: 0.0014 0.1890 0.9234  4 Ru 2.39-2.58, 2 Si 2.55
Si: 0.9234 0.0014 0.1890  4 Ru 2.39-2.58, 2 Si 2.55
Si: 0.6890 0.5766 0.9986  4 Ru 2.39-2.58, 2 Si 2.55
Si: 0.3110 0.0766 0.5014  4 Ru 2.39-2.58, 2 Si 2.55
Si: 0.4986 0.8110 0.4234  4 Ru 2.39-2.58, 2 Si 2.55
Si: 0.5766 0.9986 0.6890  4 Ru 2.39-2.58, 2 Si 2.55
Si: 0.0766 0.5014 0.3110  4 Ru 2.39-2.58, 2 Si 2.55
Si: 0.8110 0.4234 0.4986  4 Ru 2.39-2.58, 2 Si 2.55
Ru: 0.8239 0.3239 0.1761  6 Si 2.57-2.58
Ru: 0.1761 0.8239 0.3239  6 Si 2.57-2.58
Ru: 0.2877 0.7877 0.7123  6 Si 2.55-2.74
Ru: 0.8952 0.8952 0.8952  3 Si 2.39
Ru: 0.2123 0.2123 0.2123  6 Si 2.55-2.74
Ru: 0.3952 0.6048 0.1048  3 Si 2.39
Ru: 0.7877 0.7123 0.2877  6 Si 2.55-2.74
Ru: 0.7123 0.2877 0.7877  6 Si 2.55-2.74
Ru: 0.1048 0.3952 0.6048  3 Si 2.39
Ru: 0.3239 0.1761 0.8239  6 Si 2.57-2.58
Ru: 0.6761 0.6761 0.6761  6 Si 2.57-2.58
Ru: 0.6048 0.1048 0.3952  3 Si 2.39
Pr: 0.4438 0.4438 0.4438  6 Si 2.84-3.01, 5 Ru 2.89-3.07
Pr: 0.0562 0.5562 0.9438  6 Si 2.84-3.01, 5 Ru 2.89-3.07
Pr: 0.9438 0.0562 0.5562  6 Si 2.84-3.01, 5 Ru 2.89-3.07
Pr: 0.5562 0.9438 0.0562  6 Si 2.84-3.01, 5 Ru 2.89-3.07

Values from the calculation:
Uncorrected formation energy in eV/f.u.: -2.97
Energy above the most stable polymorph in this dataset in meV/atom: 0
E in Ha/atom: -0.2722
Total moment in μB/cell: 0.00

---

Here is a geometry-optimized PrTaSi2Ru structure from the Alexandria database. Energies are from PBE.

Cell: 4.0812 4.0812 6.2740 Å, 108.98 108.98 90.00°
Last column: nearest neighbours and their distance in Å.
Fractional positions:
Pr: 0.0000 0.0000 0.0000  8 Si 3.14, 4 Ru 3.45, 4 Ta 3.45
Ru: 0.2500 0.7500 0.5000  4 Si 2.55
Si: 0.3879 0.3879 0.7759  1 Si 2.50, 2 Ta 2.55, 2 Ru 2.55
Si: 0.6121 0.6121 0.2241  1 Si 2.50, 2 Ru 2.55, 2 Ta 2.55
Ta: 0.7500 0.2500 0.5000  4 Si 2.55

Values from the calculation:
Uncorrected formation energy in eV/f.u.: -3.17
E in Ha/atom: -0.2934
Total moment in μB/cell: 0.00

---

Here is a geometry-optimized Pr2USiRu6 structure from the Alexandria database. Energies are from PBE.

Cell: 6.6047 6.6047 6.6047 Å, 60.00 60.00 90.00°
Last column: nearest neighbours and their distance in Å.
Fractional positions:
Ru: 0.2413 0.7587 0.0000  1 Si 2.25, 1 U 2.42
Ru: 0.7587 0.2413 0.0000  1 Si 2.25, 1 U 2.42
Ru: 0.7587 0.7587 0.0000  1 Si 2.25, 1 U 2.42
Ru: 0.2413 0.2413 0.5173  1 Si 2.25, 1 U 2.42
Ru: 0.2413 0.2413 0.0000  1 Si 2.25, 1 U 2.42
Ru: 0.7587 0.7587 0.4827  1 Si 2.25, 1 U 2.42
U: 0.5000 0.5000 0.0000  6 Ru 2.42
Si: 0.0000 0.0000 0.0000  6 Ru 2.25
Pr: 0.2500 0.7500 0.5000  12 Ru 3.30
Pr: 0.7500 0.2500 0.5000  12 Ru 3.30

Values from the calculation:
Uncorrected formation energy in eV/f.u.: 2.24
E in Ha/atom: -0.2928
Total moment in μB/cell: 0.00